1.
PBE-GGA ZrCrTcRh, optimized geometry; total magnetization = 2.4 μB per cell; N(E_F) = 2.0 states/eV/f.u.; energy of formation from the pure elements = -5.00 kcal/mol of atoms; calculated density = 8997 kg/m3; V = 63.5 Å³/cell
1.0
4.4785 0.0000 0.0000
2.2393 3.8785 0.0000
2.2393 1.2928 3.6567
Cr Rh Tc Zr
1 1 1 1
Direct
0.7500 0.7500 0.7500
0.5000 0.5000 0.5000
0.0000 0.0000 0.0000
0.2500 0.2500 0.2500

***

2.
PBE-GGA Ba2LiCdRh, optimized geometry; total magnetization = 0.0 μB per cell; E above lowest polymorph = 7 meV/atom; N(E_F) = 4.3 states/eV/f.u.; energy of formation from the pure elements = -2.23 kcal/mol of atoms; calculated density = 4704 kg/m3; V = 175.4 Å³/cell
1.0
-1.5877 -0.0994 5.7224
-1.2924 -5.7789 -0.4590
4.6682 -1.1453 1.2753
Li Rh Ba Cd
1 1 2 1
Direct
0.0000 0.0000 0.5000
0.0000 0.0000 0.0000
0.0000 0.5000 0.0000
0.5000 0.0000 0.0000
0.5000 0.5000 0.5000

***

Question: calculated density of number 2 (Ba2LiCdRh)?
Answer: 4704 kg/m3

***

Question: What is the total magnetization in the first record?
Answer: 2.4 μB per cell